Record 1
## NaNdCuHg (PBE)

Data for crystalline NaNdCuHg at its relaxed geometry.

Geometry as extended XYZ:
```
4
Lattice="-3.135 -4.030 -0.489 -0.854 -2.039 -4.628 1.916 -4.613 -1.163" Properties=species:S:1:pos:R:3 pbc="T T T"
Na -1.036 -5.341 -3.140
Cu -0.518 -2.671 -1.570
Nd 0.000 0.000 0.000
Hg -1.554 -8.012 -4.710
```

DFT total energy = -10.9 eV/cell
Energy of formation = -116 meV/atom
Space group = F-43m, No. 216

Record 2
## TlCdI2Br (PBE)

Data for crystalline TlCdI2Br at its relaxed geometry.

Geometry as extended XYZ:
```
5
Lattice="5.962 0.000 0.000 0.000 5.962 0.000 0.000 0.000 5.482" Properties=species:S:1:pos:R:3 pbc="T T T"
I 2.981 0.000 0.000
I 0.000 2.981 0.000
Tl 2.981 2.981 2.741
Cd 0.000 0.000 0.000
Br 0.000 0.000 2.741
```

DFT total energy = -11.0 eV/cell
Space group = P4/mmm, No. 123

Record 3
## SiAg2Cl (PBE)

Data for crystalline SiAg2Cl at its relaxed geometry.

Geometry as extended XYZ:
```
4
Lattice="4.981 0.000 0.000 0.000 4.981 0.000 0.000 0.000 3.013" Properties=species:S:1:pos:R:3 pbc="T T T"
Si 0.000 2.491 1.507
Ag 2.491 2.491 0.000
Cl 2.491 0.000 1.507
Ag 0.000 0.000 0.000
```

Relative energy among the computed polymorphs = 0.283 eV per atom
DFT total energy = -11.8 eV/cell
Space group = P4/mmm, No. 123

Record 4
## TaSi2Se (PBE)

Data for crystalline TaSi2Se at its relaxed geometry.

Geometry as extended XYZ:
```
4
Lattice="-0.170 2.615 4.013 -3.253 2.343 2.626 -0.817 -4.001 2.601" Properties=species:S:1:pos:R:3 pbc="T T T"
Si -3.376 4.421 6.639
Ta -1.060 0.239 2.310
Si -2.168 1.014 4.620
Se -3.181 0.718 6.930
```

DFT total energy = -25.7 eV/cell
Space group = C2/m, No. 12

Record 5
## InNi4Mo (PBE)

Data for crystalline InNi4Mo at its relaxed geometry.

Geometry as extended XYZ:
```
6
Lattice="2.729 -1.115 3.795 2.391 3.452 2.338 -1.375 1.307 4.416" Properties=species:S:1:pos:R:3 pbc="T T T"
In 2.809 2.733 7.911
Ni 1.402 1.364 3.949
Ni 2.774 0.803 5.856
Mo 0.000 0.000 0.000
Ni 2.604 3.099 5.124
Ni 0.711 2.021 6.168
```

DFT total energy = -36.4 eV/cell
Energy of formation = 53 meV/atom
Space group = F-43m, No. 216

Record 6
## NdEuGdZn (PBE)

Data for crystalline NdEuGdZn at its relaxed geometry.

Geometry as extended XYZ:
```
4
Lattice="5.475 0.000 0.000 2.738 4.742 0.000 2.738 1.581 4.471" Properties=species:S:1:pos:R:3 pbc="T T T"
Eu 2.738 1.581 1.118
Nd 5.475 3.161 2.235
Zn 8.213 4.742 3.353
Gd 0.000 0.000 0.000
```

DFT total energy = -30.2 eV/cell
Energy of formation = 52 meV/atom
Space group = F-43m, No. 216

Record 7
## Sm3Tl2Ag4 (PBE)

Data for crystalline Sm3Tl2Ag4 at its relaxed geometry.

Geometry as extended XYZ:
```
9
Lattice="-0.048 -3.544 -3.440 3.358 -1.303 4.842 -9.175 -0.758 0.908" Properties=species:S:1:pos:R:3 pbc="T T T"
Ag -2.624 -4.945 1.584
Ag -6.848 -2.402 2.569
Tl -4.028 -2.885 3.028
Ag 0.982 -3.204 -0.259
Sm -0.755 -2.323 2.403
Sm 0.000 0.000 0.000
Sm -5.110 -3.283 -0.093
Ag -3.241 -0.661 0.725
Tl -1.838 -2.721 -0.718
```

DFT total energy = -32.8 eV/cell
Energy of formation = -274 meV/atom
Space group = C2/m, No. 12

Record 8
## Be2OsPt (PBE)

Data for crystalline Be2OsPt at its relaxed geometry.

Geometry as extended XYZ:
```
4
Lattice="-2.927 0.320 -6.997 -3.444 -2.294 -6.365 -5.164 -0.323 -5.555" Properties=species:S:1:pos:R:3 pbc="T T T"
Be -11.528 -2.296 -18.904
Pt -8.651 -1.723 -14.187
Os -2.884 -0.574 -4.729
Be -5.775 -1.150 -9.470
```

DFT total energy = -25.5 eV/cell
Energy of formation = -205 meV/atom
Space group = R-3m, No. 166

Record 9
## TlAsPb2 (PBE)

Data for crystalline TlAsPb2 at its relaxed geometry.

Geometry as extended XYZ:
```
4
Lattice="5.432 0.000 0.000 2.716 4.705 0.000 2.716 1.568 4.436" Properties=species:S:1:pos:R:3 pbc="T T T"
Pb 2.716 1.568 1.109
Tl 8.149 4.705 3.327
Pb 0.000 0.000 0.000
As 5.432 3.136 2.218
```

Relative energy among the computed polymorphs = 0.133 eV per atom
DFT total energy = -13.8 eV/cell
Energy of formation = 157 meV/atom
Space group = F-43m, No. 216

Record 10
## Tm3Bi12Pb5 (PBE)

Data for crystalline Tm3Bi12Pb5 at its relaxed geometry.

Geometry as extended XYZ:
```
80
Lattice="-9.727 10.728 -6.767 -7.099 -14.321 0.084 3.211 4.443 15.015" Properties=species:S:1:pos:R:3 pbc="T T T"
Bi -4.938 5.488 10.032
Pb -4.863 5.364 -3.383
Bi -7.474 2.723 9.293
Bi -10.860 0.202 -2.421
Tm -11.499 -1.708 4.383
Bi -13.050 0.544 2.393
Bi -6.030 6.994 -0.773
Bi -7.308 -5.523 3.941
Pb -10.528 0.762 0.608
Tm -13.434 -0.798 -3.981
Tm -8.595 8.708 -2.157
Bi -9.307 3.578 0.188
Bi -12.285 1.211 5.342
Tm -6.333 4.667 7.063
Pb -3.258 7.586 4.124
Bi -6.785 -6.595 -0.178
Bi -6.711 -11.522 1.772
Pb -8.593 -0.148 8.972
Bi -8.868 -1.267 6.096
Pb -10.539 3.769 5.393
Bi -2.754 0.648 10.753
Bi -4.308 -2.727 8.145
Bi -6.830 7.445 8.510
Bi -0.564 0.307 5.939
Tm -4.059 -2.381 11.499
Bi 0.076 3.774 9.974
Pb -5.373 10.144 8.073
Pb -8.279 8.584 3.484
Pb -2.126 5.565 8.734
Bi -12.585 2.463 -3.702
Bi -5.599 -5.293 12.261
Bi -3.158 4.822 5.909
Pb -8.413 -1.796 -3.341
Bi -1.029 -1.613 12.034
Bi -13.690 -2.924 -1.642
Tm -6.650 4.791 1.422
Bi -5.913 -2.743 4.168
Bi -14.412 -3.996 -4.480
Bi -4.747 2.117 2.236
Tm -5.019 -7.858 10.489
Bi -8.676 -4.637 -1.700
Bi -6.140 -1.872 -0.961
Pb -5.021 0.998 -0.640
Pb -3.075 -2.919 2.939
Tm -7.281 -3.817 1.269
Bi -4.080 -3.915 0.184
Bi -9.534 4.766 8.148
Bi -10.456 -3.972 2.423
Bi -6.783 3.345 -1.631
Pb -5.336 -7.734 4.848
Bi -1.329 -0.360 2.990
Pb -6.807 0.425 4.166
Bi -4.852 -6.478 7.638
Pb 0.000 0.000 0.000
Tm -9.556 3.231 -3.167
Bi -8.893 -1.277 2.272
Bi -7.290 11.518 3.586
Pb -8.242 -9.294 0.259
Bi -10.704 6.072 -2.351
Tm -2.115 2.558 3.949
Bi -6.324 -10.668 4.746
Bi -3.561 4.999 2.111
Bi -4.721 2.127 6.060
Pb -1.944 -4.939 7.549
Pb -11.488 -4.715 -0.402
Pb 1.606 2.222 7.507
Pb -3.549 -7.161 0.042
Bi -10.053 -4.149 6.221
Bi -7.701 3.593 4.164
Tm -6.965 -3.941 6.910
Bi -7.584 -6.144 9.105
Bi -8.015 6.143 -3.928
Bi -2.910 -5.222 10.683
Tm -0.181 1.648 12.313
Pb -3.087 0.089 7.724
Bi 0.798 4.846 12.813
Bi -6.306 6.374 4.391
Bi -6.903 12.372 6.560
Bi -8.762 7.329 0.694
Bi -6.831 -2.495 9.963
```

DFT total energy = -315.5 eV/cell
Energy of formation = -17 meV/atom
Space group = Ia-3d, No. 230

Record 11
## NdHo4Al2 (PBE)

Data for crystalline NdHo4Al2 at its relaxed geometry.

Geometry as extended XYZ:
```
7
Lattice="5.064 0.000 1.582 2.285 4.520 1.582 0.160 0.098 8.386" Properties=species:S:1:pos:R:3 pbc="T T T"
Al 5.411 3.327 9.370
Ho 4.303 2.646 4.020
Al 2.098 1.290 2.180
Ho 3.206 1.972 7.530
Ho 6.289 3.867 6.559
Nd 0.000 0.000 0.000
Ho 1.220 0.750 4.991
```

Relative energy among the computed polymorphs = 0.000 eV per atom
DFT total energy = -32.0 eV/cell
Energy of formation = -204 meV/atom
Space group = R-3m, No. 166

Record 12
## NbPCl2F (PBE)

Data for crystalline NbPCl2F at its relaxed geometry.

Geometry as extended XYZ:
```
5
Lattice="4.771 0.000 0.000 0.000 4.771 0.000 0.000 0.000 4.931" Properties=species:S:1:pos:R:3 pbc="T T T"
Cl 0.000 2.385 0.000
Nb 0.000 0.000 0.000
F 2.385 2.385 2.465
Cl 2.385 0.000 0.000
P 0.000 0.000 2.465
```

Relative energy among the computed polymorphs = 0.000 eV per atom
DFT total energy = -23.1 eV/cell
Space group = P4/mmm, No. 123

Record 13
## BeTc4Cl (PBE)

Data for crystalline BeTc4Cl at its relaxed geometry.

Geometry as extended XYZ:
```
6
Lattice="0.000 3.633 3.633 3.633 0.000 3.633 3.633 3.633 0.000" Properties=species:S:1:pos:R:3 pbc="T T T"
Cl 0.000 0.000 0.000
Tc 4.546 4.546 2.720
Tc 4.546 2.720 4.546
Be 5.449 5.449 5.449
Tc 2.720 4.546 4.546
Tc 2.720 2.720 2.720
```

DFT total energy = -40.8 eV/cell
Space group = F-43m, No. 216

Record 14
## CaHgH2W (PBE)

Data for crystalline CaHgH2W at its relaxed geometry.

Geometry as extended XYZ:
```
5
Lattice="4.004 0.000 0.000 0.000 5.866 0.000 0.000 0.000 4.004" Properties=species:S:1:pos:R:3 pbc="T T T"
Hg 2.002 2.933 2.002
W 0.000 0.000 0.000
Ca 0.000 2.933 0.000
H 0.000 0.000 2.002
H 2.002 0.000 0.000
```

DFT total energy = -17.3 eV/cell
Space group = P4/mmm, No. 123

Record 15
## K2InPW (PBE)

Data for crystalline K2InPW at its relaxed geometry.

Geometry as extended XYZ:
```
5
Lattice="-4.219 3.672 3.049 2.209 -1.354 4.686 3.985 4.950 -0.448" Properties=species:S:1:pos:R:3 pbc="T T T"
K -2.109 1.836 1.525
P 0.988 3.634 3.644
K 1.992 2.475 -0.224
W 0.000 0.000 0.000
In 1.104 -0.677 2.343
```

DFT total energy = -15.6 eV/cell
Energy of formation = 1531 meV/atom
Space group = P4/mmm, No. 123

Record 16
## BaSmZnGa (PBE)

Data for crystalline BaSmZnGa at its relaxed geometry.

Geometry as extended XYZ:
```
4
Lattice="-2.946 2.281 -3.999 -5.151 1.560 0.950 -1.249 5.316 0.218" Properties=species:S:1:pos:R:3 pbc="T T T"
Ba 0.000 0.000 0.000
Ga -2.337 2.289 -0.708
Sm -4.673 4.578 -1.416
Zn -7.010 6.867 -2.123
```

DFT total energy = -11.8 eV/cell
Energy of formation = -217 meV/atom
Space group = F-43m, No. 216

Record 17
## NaPrGeO4 (PBE)

Data for crystalline NaPrGeO4 at its relaxed geometry.

Geometry as extended XYZ:
```
14
Lattice="5.596 -0.069 0.000 -2.311 5.097 0.000 0.000 0.000 7.463" Properties=species:S:1:pos:R:3 pbc="T T T"
O 3.583 1.246 4.142
Na -0.924 4.191 5.597
Pr 1.643 2.514 0.000
Ge -1.115 4.315 1.866
O 1.063 1.029 1.866
O 2.770 3.642 1.866
Pr 1.643 2.514 3.731
O -0.298 3.782 0.411
O 0.515 1.387 5.597
O 2.222 3.999 5.597
Ge 4.400 0.713 5.597
O -0.298 3.782 3.321
Na 4.209 0.837 1.866
O 3.583 1.246 7.052
```

DFT total energy = -93.9 eV/cell
Space group = Cmcm, No. 63

Record 18
## Pm2MgAl2Pt5 (PBE)

Data for crystalline Pm2MgAl2Pt5 at its relaxed geometry.

Geometry as extended XYZ:
```
20
Lattice="3.468 0.000 0.000 0.000 10.374 0.000 0.000 0.000 10.374" Properties=species:S:1:pos:R:3 pbc="T T T"
Pt 1.734 4.574 3.035
Pt 1.734 7.339 4.574
Al 0.000 9.082 3.895
Al 0.000 1.292 6.479
Pm 0.000 8.542 7.020
Pm 0.000 1.833 3.354
Pt 1.734 5.187 0.000
Al 0.000 3.895 1.292
Pt 1.734 8.222 9.761
Pt 1.734 2.152 0.613
Pt 1.734 0.613 8.222
Pm 0.000 7.020 1.833
Pt 1.734 3.035 5.800
Pt 1.734 5.800 7.339
Mg 0.000 0.000 0.000
Al 0.000 6.479 9.082
Pt 1.734 9.761 2.152
Pt 1.734 0.000 5.187
Mg 0.000 5.187 5.187
Pm 0.000 3.354 8.542
```

DFT total energy = -116.4 eV/cell
Energy of formation = -944 meV/atom
Space group = P4/mbm, No. 127

Record 19
## Mg16PaAl12 (PBE)

Data for crystalline Mg16PaAl12 at its relaxed geometry.

Geometry as extended XYZ:
```
29
Lattice="5.283 -7.598 0.021 5.283 7.598 0.021 -5.671 0.000 7.313" Properties=species:S:1:pos:R:3 pbc="T T T"
Mg -0.732 0.000 5.287
Al 0.585 -4.854 5.935
Mg 3.687 -3.065 2.345
Al -1.050 -1.393 2.678
Mg 5.699 -2.276 0.046
Mg -1.834 2.948 5.060
Al 7.583 0.000 1.277
Al 0.890 2.738 1.386
Al 4.017 -1.377 4.599
Mg 1.448 5.225 2.875
Mg -1.834 -2.948 5.060
Al -1.050 1.393 2.678
Al 2.898 1.346 0.050
Al 0.585 4.854 5.935
Al 2.898 -1.346 0.050
Mg 6.828 0.000 4.834
Pa 1.826 0.000 2.742
Mg 3.076 2.602 7.332
Mg 1.448 -5.225 2.875
Mg 5.699 2.276 0.046
Al 0.890 -2.738 1.386
Mg 4.872 0.000 7.318
Al 2.031 0.000 5.921
Al 4.017 1.377 4.599
Mg 3.687 3.065 2.345
Mg 1.213 -2.538 4.467
Mg 1.213 2.538 4.467
Mg 3.076 -2.602 7.332
Mg 4.873 0.000 2.031
```

Relative energy among the computed polymorphs = 0.013 eV per atom
DFT total energy = -80.8 eV/cell
Energy of formation = -32 meV/atom
Space group = R3m, No. 160

Record 20
## MgTlRe2 (PBE)

Data for crystalline MgTlRe2 at its relaxed geometry.

Geometry as extended XYZ:
```
8
Lattice="-2.034 -4.812 5.654 6.116 2.238 4.105 0.599 0.624 5.987" Properties=species:S:1:pos:R:3 pbc="T T T"
Re 3.741 1.007 4.705
Re 4.090 -1.760 13.075
Mg 2.041 -1.287 4.879
Tl 0.000 0.000 0.000
Mg 4.378 0.787 7.485
Re 1.911 -0.523 8.104
Re -0.380 -2.626 5.607
Tl 0.303 -2.738 8.260
```

Relative energy among the computed polymorphs = 1.131 eV per atom
DFT total energy = -46.4 eV/cell
Energy of formation = 1419 meV/atom
Space group = I-42d, No. 122

Record 21
## CeNdOsBr (PBE)

Data for crystalline CeNdOsBr at its relaxed geometry.

Geometry as extended XYZ:
```
4
Lattice="-1.073 0.499 3.888 1.733 -3.475 -1.200 7.235 3.822 -0.618" Properties=species:S:1:pos:R:3 pbc="T T T"
Os 7.033 1.613 0.011
Br 2.232 0.536 3.072
Nd 4.550 2.284 1.364
Ce 1.940 -3.024 -0.800
```

DFT total energy = -26.5 eV/cell
Space group = R3m, No. 160

Record 22
## Nd2CuBi (PBE)

Data for crystalline Nd2CuBi at its relaxed geometry.

Geometry as extended XYZ:
```
4
Lattice="-1.512 -0.723 3.191 2.004 -1.337 2.682 2.383 9.282 5.269" Properties=species:S:1:pos:R:3 pbc="T T T"
Bi 0.000 0.000 0.000
Nd 1.710 6.258 4.264
Nd 1.165 0.963 6.877
Cu 1.437 3.611 5.571
```

Relative energy among the computed polymorphs = 0.432 eV per atom
DFT total energy = -17.4 eV/cell
Energy of formation = 37 meV/atom
Space group = R-3m, No. 166